Entry a
NiAg2W: relaxed, PBE-GGA.

The structure in CIF format:
```
data_NiAg2W
_symmetry_space_group_name_H-M 'P 1'
_symmetry_Int_Tables_number 1
_symmetry_space_group_name_Hall 'P 1'
_cell_length_a 2.708
_cell_length_b 2.708
_cell_length_c 9.374
_cell_angle_alpha 90.00
_cell_angle_beta 90.00
_cell_angle_gamma 113.06
loop_
_atom_site_label
_atom_site_type_symbol
_atom_site_fract_x
_atom_site_fract_y
_atom_site_fract_z
Ag1 Ag 0.000 0.000 0.016
Ag2 Ag 0.000 0.000 0.484
W1 W 0.500 0.500 0.750
Ni1 Ni 0.500 0.500 0.250
```

**Spin magnetization**: 0.17 μB/f.u.
**Space group**: No. 65
**Volume**: 15.82 Å³ per atom

Entry b
NiAg2W: relaxed, PBE-GGA.

The structure in CIF format:
```
data_NiAg2W
_symmetry_space_group_name_H-M 'P 1'
_symmetry_Int_Tables_number 1
_symmetry_space_group_name_Hall 'P 1'
_cell_length_a 2.769
_cell_length_b 2.767
_cell_length_c 8.600
_cell_angle_alpha 71.14
_cell_angle_beta 90.00
_cell_angle_gamma 90.00
loop_
_atom_site_label
_atom_site_type_symbol
_atom_site_fract_x
_atom_site_fract_y
_atom_site_fract_z
Ag1 Ag 0.000 0.004 0.995
Ag2 Ag 0.500 0.228 0.272
Ni1 Ni 0.000 0.487 0.514
W1 W 0.500 0.781 0.719
```

**Spin magnetization**: 0.00 μB/f.u.
**Space group**: No. 6
**Volume**: 15.59 Å³ per atom

Relative stability in meV/atom, measured from the most stable structure: entry a 268; entry b 0

Entry a
NiAgW3: relaxed, PBE-GGA.

The structure in CIF format:
```
data_NiAgW3
_symmetry_space_group_name_H-M 'P 1'
_symmetry_Int_Tables_number 1
_symmetry_space_group_name_Hall 'P 1'
_cell_length_a 4.747
_cell_length_b 4.747
_cell_length_c 4.747
_cell_angle_alpha 90.00
_cell_angle_beta 90.00
_cell_angle_gamma 90.00
loop_
_atom_site_label
_atom_site_type_symbol
_atom_site_fract_x
_atom_site_fract_y
_atom_site_fract_z
W1 W 0.000 0.500 0.000
W2 W 0.500 0.000 0.000
W3 W 0.000 0.000 0.500
Ni1 Ni 0.500 0.500 0.500
Ag1 Ag 0.000 0.000 0.000
```

**Spin magnetization**: 1.21 μB/f.u.
**Space group**: No. 221
**Volume**: 21.40 Å³ per atom

Entry b
NiAgW3: relaxed, PBE-GGA.

The structure in CIF format:
```
data_NiAgW3
_symmetry_space_group_name_H-M 'P 1'
_symmetry_Int_Tables_number 1
_symmetry_space_group_name_Hall 'P 1'
_cell_length_a 4.487
_cell_length_b 4.487
_cell_length_c 4.487
_cell_angle_alpha 90.00
_cell_angle_beta 90.00
_cell_angle_gamma 90.00
loop_
_atom_site_label
_atom_site_type_symbol
_atom_site_fract_x
_atom_site_fract_y
_atom_site_fract_z
Ag1 Ag 0.500 0.500 0.500
Ni1 Ni 0.000 0.000 0.000
W1 W 0.000 0.000 0.500
W2 W 0.000 0.500 0.000
W3 W 0.500 0.000 0.000
```

**Spin magnetization**: 0.00 μB/f.u.
**Space group**: No. 221
**Volume**: 18.07 Å³ per atom

Relative stability in meV/atom, measured from the most stable structure: entry a 1519; entry b 0

Entry a
Y2Ni2Ag: relaxed, PBE-GGA.

The structure in CIF format:
```
data_Y2Ni2Ag
_symmetry_space_group_name_H-M 'P 1'
_symmetry_Int_Tables_number 1
_symmetry_space_group_name_Hall 'P 1'
_cell_length_a 7.336
_cell_length_b 7.336
_cell_length_c 3.652
_cell_angle_alpha 90.00
_cell_angle_beta 90.00
_cell_angle_gamma 90.00
loop_
_atom_site_label
_atom_site_type_symbol
_atom_site_fract_x
_atom_site_fract_y
_atom_site_fract_z
Y1 Y 0.323 0.177 0.500
Y2 Y 0.677 0.823 0.500
Y3 Y 0.823 0.323 0.500
Y4 Y 0.177 0.677 0.500
Ag1 Ag 0.000 0.000 0.000
Ag2 Ag 0.500 0.500 0.000
Ni1 Ni 0.618 0.118 0.000
Ni2 Ni 0.118 0.382 0.000
Ni3 Ni 0.882 0.618 0.000
Ni4 Ni 0.382 0.882 0.000
```

**Spin magnetization**: 0.00 μB/f.u.
**Space group**: No. 127
**Volume**: 19.65 Å³ per atom

Entry b
Y2Ni2Ag: relaxed, PBE-GGA.

The structure in CIF format:
```
data_Y2Ni2Ag
_symmetry_space_group_name_H-M 'P 1'
_symmetry_Int_Tables_number 1
_symmetry_space_group_name_Hall 'P 1'
_cell_length_a 3.634
_cell_length_b 3.953
_cell_length_c 7.218
_cell_angle_alpha 105.89
_cell_angle_beta 90.00
_cell_angle_gamma 90.00
loop_
_atom_site_label
_atom_site_type_symbol
_atom_site_fract_x
_atom_site_fract_y
_atom_site_fract_z
Ni1 Ni 0.000 0.800 0.601
Ni2 Ni 0.000 0.200 0.399
Ag1 Ag 0.000 0.000 0.000
Y1 Y 0.500 0.366 0.731
Y2 Y 0.500 0.634 0.269
```

**Spin magnetization**: 0.00 μB/f.u.
**Space group**: No. 65
**Volume**: 19.95 Å³ per atom

Relative stability in meV/atom, measured from the most stable structure: entry a 12; entry b 0

Entry a
Y2Ni2Ag: relaxed, PBE-GGA.

The structure in CIF format:
```
data_Y2Ni2Ag
_symmetry_space_group_name_H-M 'P 1'
_symmetry_Int_Tables_number 1
_symmetry_space_group_name_Hall 'P 1'
_cell_length_a 3.608
_cell_length_b 3.608
_cell_length_c 8.315
_cell_angle_alpha 77.47
_cell_angle_beta 77.47
_cell_angle_gamma 90.00
loop_
_atom_site_label
_atom_site_type_symbol
_atom_site_fract_x
_atom_site_fract_y
_atom_site_fract_z
Ni1 Ni 0.750 0.250 0.500
Ni2 Ni 0.250 0.750 0.500
Ag1 Ag 0.000 0.000 0.000
Y1 Y 0.382 0.382 0.236
Y2 Y 0.618 0.618 0.764
```

**Spin magnetization**: 0.00 μB/f.u.
**Space group**: No. 139
**Volume**: 20.61 Å³ per atom

Entry b
Y2Ni2Ag: relaxed, PBE-GGA.

The structure in CIF format:
```
data_Y2Ni2Ag
_symmetry_space_group_name_H-M 'P 1'
_symmetry_Int_Tables_number 1
_symmetry_space_group_name_Hall 'P 1'
_cell_length_a 7.919
_cell_length_b 7.919
_cell_length_c 3.293
_cell_angle_alpha 90.00
_cell_angle_beta 90.00
_cell_angle_gamma 90.00
loop_
_atom_site_label
_atom_site_type_symbol
_atom_site_fract_x
_atom_site_fract_y
_atom_site_fract_z
Ni1 Ni 0.128 0.628 0.500
Ni2 Ni 0.372 0.128 0.500
Ni3 Ni 0.628 0.872 0.500
Ni4 Ni 0.872 0.372 0.500
Ag1 Ag 0.000 0.000 0.000
Ag2 Ag 0.500 0.500 0.000
Y1 Y 0.341 0.841 0.000
Y2 Y 0.841 0.659 0.000
Y3 Y 0.159 0.341 0.000
Y4 Y 0.659 0.159 0.000
```

**Spin magnetization**: 0.00 μB/f.u.
**Space group**: No. 127
**Volume**: 20.65 Å³ per atom

Entry c
Y2Ni2Ag: relaxed, PBE-GGA.

The structure in CIF format:
```
data_Y2Ni2Ag
_symmetry_space_group_name_H-M 'P 1'
_symmetry_Int_Tables_number 1
_symmetry_space_group_name_Hall 'P 1'
_cell_length_a 5.217
_cell_length_b 5.217
_cell_length_c 5.316
_cell_angle_alpha 60.61
_cell_angle_beta 60.61
_cell_angle_gamma 90.00
loop_
_atom_site_label
_atom_site_type_symbol
_atom_site_fract_x
_atom_site_fract_y
_atom_site_fract_z
Y1 Y 0.750 0.250 0.500
Y2 Y 0.250 0.750 0.500
Ni1 Ni 0.650 0.650 0.700
Ni2 Ni 0.350 0.350 0.300
Ag1 Ag 0.000 0.000 0.000
```

**Spin magnetization**: 0.00 μB/f.u.
**Space group**: No. 139
**Volume**: 20.84 Å³ per atom

Relative stability in meV/atom, measured from the most stable structure: entry a 32; entry b 137; entry c 0

Entry a
YNi2Ag2: relaxed, PBE-GGA.

The structure in CIF format:
```
data_YNi2Ag2
_symmetry_space_group_name_H-M 'P 1'
_symmetry_Int_Tables_number 1
_symmetry_space_group_name_Hall 'P 1'
_cell_length_a 3.936
_cell_length_b 3.936
_cell_length_c 6.405
_cell_angle_alpha 72.10
_cell_angle_beta 72.10
_cell_angle_gamma 90.00
loop_
_atom_site_label
_atom_site_type_symbol
_atom_site_fract_x
_atom_site_fract_y
_atom_site_fract_z
Ag1 Ag 0.250 0.750 0.500
Ag2 Ag 0.750 0.250 0.500
Y1 Y 0.000 0.000 0.000
Ni1 Ni 0.403 0.403 0.194
Ni2 Ni 0.597 0.597 0.806
```

**Spin magnetization**: 0.00 μB/f.u.
**Space group**: No. 139
**Volume**: 17.88 Å³ per atom

Entry b
YNi2Ag2: relaxed, PBE-GGA.

The structure in CIF format:
```
data_YNi2Ag2
_symmetry_space_group_name_H-M 'P 1'
_symmetry_Int_Tables_number 1
_symmetry_space_group_name_Hall 'P 1'
_cell_length_a 7.486
_cell_length_b 7.486
_cell_length_c 3.064
_cell_angle_alpha 90.00
_cell_angle_beta 90.00
_cell_angle_gamma 90.00
loop_
_atom_site_label
_atom_site_type_symbol
_atom_site_fract_x
_atom_site_fract_y
_atom_site_fract_z
Ag1 Ag 0.130 0.370 0.000
Ag2 Ag 0.630 0.130 0.000
Ag3 Ag 0.370 0.870 0.000
Ag4 Ag 0.870 0.630 0.000
Y1 Y 0.000 0.000 0.000
Y2 Y 0.500 0.500 0.000
Ni1 Ni 0.667 0.833 0.500
Ni2 Ni 0.167 0.667 0.500
Ni3 Ni 0.833 0.333 0.500
Ni4 Ni 0.333 0.167 0.500
```

**Spin magnetization**: 0.00 μB/f.u.
**Space group**: No. 127
**Volume**: 17.17 Å³ per atom

Relative stability in meV/atom, measured from the most stable structure: entry a 0; entry b 205

Entry a
YNiAg3: relaxed, PBE-GGA.

The structure in CIF format:
```
data_YNiAg3
_symmetry_space_group_name_H-M 'P 1'
_symmetry_Int_Tables_number 1
_symmetry_space_group_name_Hall 'P 1'
_cell_length_a 4.799
_cell_length_b 4.799
_cell_length_c 4.799
_cell_angle_alpha 90.00
_cell_angle_beta 90.00
_cell_angle_gamma 90.00
loop_
_atom_site_label
_atom_site_type_symbol
_atom_site_fract_x
_atom_site_fract_y
_atom_site_fract_z
Ag1 Ag 0.500 0.000 0.000
Ag2 Ag 0.000 0.500 0.000
Ag3 Ag 0.000 0.000 0.500
Y1 Y 0.500 0.500 0.500
Ni1 Ni 0.000 0.000 0.000
```

**Spin magnetization**: 0.00 μB/f.u.
**Space group**: No. 221
**Volume**: 22.10 Å³ per atom

Entry b
YNiAg3: relaxed, PBE-GGA.

The structure in CIF format:
```
data_YNiAg3
_symmetry_space_group_name_H-M 'P 1'
_symmetry_Int_Tables_number 1
_symmetry_space_group_name_Hall 'P 1'
_cell_length_a 5.389
_cell_length_b 5.389
_cell_length_c 5.389
_cell_angle_alpha 90.00
_cell_angle_beta 90.00
_cell_angle_gamma 90.00
loop_
_atom_site_label
_atom_site_type_symbol
_atom_site_fract_x
_atom_site_fract_y
_atom_site_fract_z
Ni1 Ni 0.500 0.500 0.500
Ag1 Ag 0.000 0.500 0.000
Ag2 Ag 0.000 0.000 0.500
Ag3 Ag 0.500 0.000 0.000
Y1 Y 0.000 0.000 0.000
```

**Spin magnetization**: 0.06 μB/f.u.
**Space group**: No. 221
**Volume**: 31.29 Å³ per atom

Relative stability in meV/atom, measured from the most stable structure: entry a 0; entry b 1206